[1]
## ErTmInCu (PBE)

Data for a relaxed ErTmInCu crystal.

Summary:
Space-group type: F-43m (216)
Spin magnetization, μB per cell: 0.0
Energy of formation from the pure elements, eV/atom: -0.317
Raw total energy, eV for the cell shown: -17.14
Density, Mg/m³: 9.10

Unit cell a=5.1009 b=5.1009 c=5.1009 alpha=60.00 beta=60.00 gamma=60.00
Element x y z (fractional)
Er  0.0000  0.0000  0.0000
Tm  0.5000  0.5000  0.5000
In  0.7500  0.7500  0.7500
Cu  0.2500  0.2500  0.2500



[2]
## Ac3Pm2TaN6 (PBE)

Data for a relaxed Ac3Pm2TaN6 crystal.

Summary:
Space-group type: C2/m (12)
Formation energy (no corrections), eV per atom: -1.16
Spin magnetization, μB per cell: 0.0
Raw total energy, eV for the cell shown: -97.57
Density, Mg/m³: 10.06

Unit cell a=6.2496 b=6.2496 c=6.3714 alpha=99.30 beta=99.30 gamma=119.95
Element x y z (fractional)
Ac  0.0000  0.0000  0.0000
Ac  0.3333  0.6667  0.0000
Ac  0.6667  0.3333  0.0000
Pm  0.1672  0.8328  0.5000
Pm  0.8328  0.1672  0.5000
Ta  0.5000  0.5000  0.5000
N  0.1387  0.4306  0.2939
N  0.2768  0.2768  0.7172
N  0.4306  0.1387  0.2939
N  0.5694  0.8613  0.7061
N  0.7232  0.7232  0.2828
N  0.8613  0.5694  0.7061



[3]
## TmThGe (PBE)

Data for a relaxed TmThGe crystal.

Summary:
Space-group type: Cmmm (65)
Spin magnetization, μB per cell: 0.6
Energy of formation from the pure elements, eV/atom: -0.231
Raw total energy, eV for the cell shown: -34.40
Density, Mg/m³: 8.18

Unit cell a=6.7837 b=6.7837 c=4.1922 alpha=90.00 beta=90.00 gamma=94.77
Element x y z (fractional)
Tm  0.2013  0.2013  0.0000
Tm  0.7987  0.7987  0.0000
Th  0.2935  0.7065  0.5000
Th  0.7065  0.2935  0.5000
Ge  0.0000  0.0000  0.5000
Ge  0.5000  0.5000  0.0000



[4]
## TiHOF2 (PBE)

Data for a relaxed TiHOF2 crystal.

Summary:
Energy above the most stable polymorph in this dataset, meV per atom: 581
Space-group type: P4/mmm (123)
Spin magnetization, μB per cell: 0.7
Raw total energy, eV for the cell shown: -27.37
Density, Mg/m³: 4.33

Unit cell a=3.0567 b=3.0567 c=4.2196 alpha=90.00 beta=90.00 gamma=90.00
Element x y z (fractional)
Ti  0.0000  0.0000  0.0000
H  0.5000  0.5000  0.5000
O  0.5000  0.5000  0.0000
F  0.0000  0.5000  0.5000
F  0.5000  0.0000  0.5000



[5]
## CsInI2 (PBE)

Data for a relaxed CsInI2 crystal.

Summary:
Energy above the most stable polymorph in this dataset, meV per atom: 0
Space-group type: P2_1/c (14)
Formation energy (no corrections), eV per atom: -0.99
Spin magnetization, μB per cell: 0.0
Raw total energy, eV for the cell shown: -42.57
Density, Mg/m³: 4.07

Unit cell a=9.6773 b=9.7573 c=9.1153 alpha=90.00 beta=107.96 gamma=90.00
Element x y z (fractional)
Cs  0.1936  0.0673  0.2892
Cs  0.1936  0.4327  0.7892
Cs  0.8064  0.5673  0.2108
Cs  0.8064  0.9327  0.7108
In  0.3359  0.6079  0.3720
In  0.3359  0.8921  0.8720
In  0.6641  0.1079  0.1280
In  0.6641  0.3921  0.6280
I  0.1022  0.7253  0.0469
I  0.1022  0.7747  0.5469
I  0.4545  0.1639  0.6875
I  0.4545  0.3361  0.1875
I  0.5455  0.6639  0.8125
I  0.5455  0.8361  0.3125
I  0.8978  0.2253  0.4531
I  0.8978  0.2747  0.9531



[6]
## K4Tb3CeO8 (PBE)

Data for a relaxed K4Tb3CeO8 crystal.

Summary:
Space-group type: R-3m (166)
Formation energy (no corrections), eV per atom: -2.70
Spin magnetization, μB per cell: 1.0
Raw total energy, eV for the cell shown: -107.12
Density, Mg/m³: 5.48

Unit cell a=7.4907 b=7.4907 c=7.4907 alpha=56.47 beta=56.47 gamma=56.47
Element x y z (fractional)
K  0.0000  0.0000  0.0000
K  0.0000  0.5000  0.5000
K  0.5000  0.0000  0.5000
K  0.5000  0.5000  0.0000
Tb  0.0000  0.0000  0.5000
Tb  0.0000  0.5000  0.0000
Tb  0.5000  0.0000  0.0000
Ce  0.5000  0.5000  0.5000
O  0.2224  0.7322  0.7322
O  0.2286  0.2286  0.2286
O  0.2678  0.2678  0.7776
O  0.2678  0.7776  0.2678
O  0.7322  0.2224  0.7322
O  0.7322  0.7322  0.2224
O  0.7714  0.7714  0.7714
O  0.7776  0.2678  0.2678